Material: K2NiPdF6
Method: DFT, PBE with a Hubbard U
State: optimized geometry

Unit cell a=5.9620 b=5.9620 c=5.9620 alpha=60.00 beta=60.00 gamma=60.00
Last column: nearest neighbours and their distance in Å.
Element x y z (fractional)
K (0.2500, 0.2500, 0.2500)  12 F 2.98
K (0.7500, 0.7500, 0.7500)  12 F 2.98
Ni (0.0000, 0.0000, 0.0000)  6 F 2.03
Pd (0.5000, 0.5000, 0.5000)  6 F 2.19
F (0.2404, 0.2404, 0.7596)  1 Ni 2.03, 1 Pd 2.19
F (0.2404, 0.7596, 0.2404)  1 Ni 2.03, 1 Pd 2.19
F (0.2404, 0.7596, 0.7596)  1 Ni 2.03, 1 Pd 2.19
F (0.7596, 0.2404, 0.2404)  1 Ni 2.03, 1 Pd 2.19
F (0.7596, 0.2404, 0.7596)  1 Ni 2.03, 1 Pd 2.19
F (0.7596, 0.7596, 0.2404)  1 Ni 2.03, 1 Pd 2.19

Values from the calculation:
The density is 3.96 Mg/m³. For the spin magnetization, the calculation gives 4.00 μB per cell. Its total energy is -4.239 eV/atom. The symmetry is No. 225.